First-principles (meta-GGA SCAN) data for a crystal of Li2P2Pt relaxed with PBEsol, as listed in Alexandria.

Lattice parameters (Å, degrees): 4.161 5.945 5.945 90.00 90.00 90.00
Sites, in units of the cell vectors:
P (0.000, 0.131, 0.369)
P (0.000, 0.631, 0.131)
P (0.000, 0.869, 0.631)
P (0.000, 0.369, 0.869)
Li (0.500, 0.323, 0.177)
Li (0.500, 0.823, 0.323)
Li (0.500, 0.177, 0.677)
Li (0.500, 0.677, 0.823)
Pt (0.000, 0.000, 0.000)
Pt (0.000, 0.500, 0.500)

Output
ΔH_f (0 K): -830 meV per atom
Space-group type: P4/mbm (127)
DFT total energy: -199.84 eV for the cell shown
Magnetization: 0.0 μB per formula unit
Polymorph energy (0 for the lowest one): 0 meV/atom
Crystal system: tetragonal